1.
Cs2BeSe: optimized geometry, GGA-PBE.

The space group is I-42d (No. 122) and the conventional cell measures 6.713, 6.713 and 20.928 Å, with angles of 90.00, 90.00 and 90.00 degrees. The distinct sites, in fractional coordinates, are Cs at (0.220, 0.250, 0.125), Be at (0.000, 0.000, 0.500) and Se at (0.000, 0.000, 0.000).

Its formation energy from raw total energies is 0.29 eV/atom. The value obtained for the density of states at the Fermi level is 0.000 states/eV/atom. As for the energy above the most stable polymorph in this dataset: 0.2532 eV per atom.



2.
ZrBe2Pb: optimized geometry, GGA-PBE.

The space group is C2/m (No. 12) and the conventional cell measures 7.032, 4.031 and 5.246 Å, with angles of 90.00, 116.17 and 90.00 degrees. The distinct sites, in fractional coordinates, are Zr at (0.000, 0.000, 0.000), Be at (0.230, 0.000, 0.685) and Pb at (0.000, 0.500, 0.500).

The value obtained for the density of states at the Fermi level is 0.179 states/eV/atom. The formation energy is 338 meV per atom.



3.
CuSb2Te: optimized geometry, GGA-PBE.

The space group is Pm (No. 6) and the conventional cell measures 3.780, 3.895 and 7.103 Å, with angles of 90.00, 104.41 and 90.00 degrees. The distinct sites, in fractional coordinates, are Cu at (0.000, 0.000, 0.000), Sb at (0.186, 0.000, 0.394), Sb at (0.562, 0.500, 0.137) and Te at (0.872, 0.500, 0.748).

Its formation energy from raw total energies is 0.15 eV/atom. The value obtained for the density of states at the Fermi level is 0.545 states/eV/atom.



4.
Ca2AcPt2: optimized geometry, GGA-PBE.

The space group is P2_1/m (No. 11) and the conventional cell measures 5.137, 5.087 and 10.772 Å, with angles of 90.00, 90.00 and 90.00 degrees. The distinct sites, in fractional coordinates, are Ca at (0.250, 0.250, 0.011), Ca at (0.250, 0.250, 0.337), Ac at (0.251, 0.250, 0.670), Pt at (0.249, 0.750, 0.490) and Pt at (0.250, 0.750, 0.838).

The value obtained for the density of states at the Fermi level is 0.496 states/eV/atom. As for the energy above the most stable polymorph in this dataset: 0.0145 eV per atom. The formation energy is -853 meV per atom.